[1]
DFT (PBE) results for a relaxed ScBiRu2 crystal.

a = 5.9195 Å, b = 5.9195 Å, c = 5.9195 Å
α = 104.94°, β = 104.94°, γ = 118.96°
Closest atoms and distances in Å follow each position.
Element x y z (fractional)
Sc 0.0000 0.0000 0.0000  4 Ru 2.58
Sc 0.7500 0.2500 0.5000  4 Ru 2.58
Bi 0.2500 0.7500 0.5000  4 Ru 2.74, 2 Sc 3.01
Bi 0.5000 0.5000 0.0000  4 Ru 2.74, 2 Sc 3.01
Ru 0.1087 0.6250 0.9837  2 Sc 2.58, 2 Bi 2.74
Ru 0.3750 0.3587 0.4837  2 Sc 2.58, 2 Bi 2.74
Ru 0.6413 0.1250 0.0163  2 Sc 2.58, 2 Bi 2.74
Ru 0.8750 0.8913 0.5163  2 Sc 2.58, 2 Bi 2.74

Summary:
The symmetry is I-42d. The formation energy is 1.969 eV/f.u.

---

[2]
DFT (PBE) results for a relaxed Zn2AgMo crystal.

a = 4.4547 Å, b = 4.4547 Å, c = 4.4547 Å
α = 60.00°, β = 60.00°, γ = 60.00°
Closest atoms and distances in Å follow each position.
Element x y z (fractional)
Zn 0.2500 0.2500 0.2500  4 Mo 2.73, 4 Ag 2.73
Zn 0.7500 0.7500 0.7500  4 Mo 2.73, 4 Ag 2.73
Ag 0.0000 0.0000 0.0000  8 Zn 2.73
Mo 0.5000 0.5000 0.5000  8 Zn 2.73

Summary:
The symmetry is Fm-3m. The formation energy is 1.262 eV/f.u.

---

[3]
DFT (PBE) results for a relaxed SbRhS4 crystal.

a = 6.5626 Å, b = 6.5626 Å, c = 6.2194 Å
α = 99.46°, β = 99.46°, γ = 31.96°
Closest atoms and distances in Å follow each position.
Element x y z (fractional)
Sb 0.0000 0.0000 0.0000  6 S 2.52-2.58
Rh 0.5000 0.5000 0.5000  6 S 2.39-2.40
S 0.1026 0.1026 0.3845  2 Rh 2.40, 1 Sb 2.52
S 0.3867 0.3867 0.1503  1 Rh 2.39, 2 Sb 2.58
S 0.6133 0.6133 0.8497  1 Rh 2.39, 2 Sb 2.58
S 0.8974 0.8974 0.6155  2 Rh 2.40, 1 Sb 2.52

Summary:
The symmetry is C2/m. The value obtained for the uncorrected energy is -5.013 eV/atom.

---

[4]
DFT (PBE) results for a relaxed K2LaSb crystal.

a = 4.3543 Å, b = 4.3543 Å, c = 10.6642 Å
α = 90.00°, β = 90.00°, γ = 90.00°
Closest atoms and distances in Å follow each position.
Element x y z (fractional)
K 0.0000 0.0000 0.0000  1 La 3.67
K 0.5000 0.5000 0.3481  1 Sb 4.18, 4 K 4.35, 4 La 4.50
La 0.0000 0.0000 0.6561  4 Sb 3.21
Sb 0.5000 0.5000 0.7403  4 La 3.21

Summary:
The symmetry is P4mm. The value obtained for the uncorrected energy is -3.199 eV/atom.

---

[5]
DFT (PBE) results for a relaxed YHgW3 crystal.

a = 4.8572 Å, b = 4.8572 Å, c = 4.8572 Å
α = 90.00°, β = 90.00°, γ = 90.00°
Closest atoms and distances in Å follow each position.
Element x y z (fractional)
Y 0.0000 0.0000 0.0000  6 W 2.43
Hg 0.5000 0.5000 0.5000  12 W 3.43
W 0.0000 0.0000 0.5000  2 Y 2.43
W 0.0000 0.5000 0.0000  2 Y 2.43
W 0.5000 0.0000 0.0000  2 Y 2.43

Summary:
The symmetry is Pm-3m. The formation energy is 14.987 eV/f.u.

---

[6]
DFT (PBE) results for a relaxed LiCe4Rh4 crystal.

a = 6.6977 Å, b = 6.6977 Å, c = 6.6977 Å
α = 99.18°, β = 99.18°, γ = 132.91°
Closest atoms and distances in Å follow each position.
Element x y z (fractional)
Li 0.0000 0.0000 0.0000  4 Rh 2.45
Ce 0.2052 0.5837 0.7889  5 Rh 2.69-2.92
Ce 0.4163 0.2052 0.6215  5 Rh 2.69-2.92
Ce 0.5837 0.7948 0.3785  5 Rh 2.69-2.92
Ce 0.7948 0.4163 0.2111  5 Rh 2.69-2.92
Rh 0.0890 0.2676 0.3566  1 Li 2.45, 2 Ce 2.69
Rh 0.2676 0.9110 0.1786  1 Li 2.45, 2 Ce 2.69
Rh 0.7324 0.0890 0.8214  1 Li 2.45, 2 Ce 2.69
Rh 0.9110 0.7324 0.6434  1 Li 2.45, 2 Ce 2.69

Summary:
The symmetry is I4/m. The formation energy is -4.852 eV/f.u.

---

[7]
DFT (PBE) results for a relaxed BaAcPt2 crystal.

a = 4.6435 Å, b = 6.2952 Å, c = 6.2952 Å
α = 39.41°, β = 90.00°, γ = 90.00°
Closest atoms and distances in Å follow each position.
Element x y z (fractional)
Ba 0.0000 0.0000 0.0000  7 Pt 3.23-3.43
Ac 0.5000 0.7293 0.7293  7 Pt 3.19-3.47
Pt 0.0000 0.2731 0.2731  2 Pt 3.02, 4 Ac 3.19, 1 Ba 3.24
Pt 0.5000 0.4366 0.4366  2 Pt 3.02, 4 Ba 3.23, 2 Ac 3.25

Summary:
The symmetry is Amm2. The formation energy is -3.676 eV/f.u.

---

[8]
DFT (PBE) results for a relaxed Rb2ZrScSe4 crystal.

a = 6.9417 Å, b = 3.9802 Å, c = 8.3273 Å
α = 90.00°, β = 105.96°, γ = 90.00°
Closest atoms and distances in Å follow each position.
Element x y z (fractional)
Rb 0.0000 0.0000 0.0000  6 Se 3.37-3.39
Rb 0.5000 0.5000 0.0000  6 Se 3.37-3.39
Zr 0.0000 0.5000 0.5000  6 Se 2.77
Sc 0.5000 0.0000 0.5000  6 Se 2.76-2.78
Se 0.2308 0.0000 0.6923  2 Zr 2.77, 1 Sc 2.78
Se 0.2702 0.5000 0.3101  2 Sc 2.76, 1 Zr 2.77
Se 0.7298 0.5000 0.6899  2 Sc 2.76, 1 Zr 2.77
Se 0.7692 0.0000 0.3077  2 Zr 2.77, 1 Sc 2.78

Summary:
The symmetry is P2/m. The value obtained for the uncorrected energy is -5.282 eV/atom.

---

[9]
DFT (PBE) results for a relaxed Sc2TcSb crystal.

a = 9.1092 Å, b = 9.1092 Å, c = 9.1092 Å
α = 20.77°, β = 20.77°, γ = 20.77°
Closest atoms and distances in Å follow each position.
Element x y z (fractional)
Sc 0.2387 0.2387 0.2387  3 Tc 2.70
Sc 0.7613 0.7613 0.7613  3 Tc 2.70
Tc 0.5000 0.5000 0.5000  6 Sc 2.70
Sb 0.0000 0.0000 0.0000  6 Sc 3.16, 6 Sb 3.28

Summary:
The symmetry is R-3m. The value obtained for the uncorrected energy is -7.064 eV/atom.

---

[10]
DFT (PBE) results for a relaxed Hg2PBr crystal.

a = 4.5400 Å, b = 4.5400 Å, c = 6.0148 Å
α = 90.00°, β = 90.00°, γ = 90.00°
Closest atoms and distances in Å follow each position.
Element x y z (fractional)
Hg 0.0000 0.5000 0.1692  2 P 2.49
Hg 0.5000 0.0000 0.8308  2 P 2.49
P 0.5000 0.5000 0.0000  4 Hg 2.49
Br 0.0000 0.0000 0.5000  4 Hg 3.02

Summary:
The symmetry is P-4m2. The value obtained for the uncorrected energy is -2.043 eV/atom.

---

[11]
DFT (PBE) results for a relaxed KAcNp2O8 crystal.

a = 6.7463 Å, b = 6.7463 Å, c = 6.7463 Å
α = 129.90°, β = 129.90°, γ = 73.56°
Closest atoms and distances in Å follow each position.
Element x y z (fractional)
K 0.0000 0.0000 0.0000  8 O 2.60-2.66
Ac 0.2500 0.7500 0.5000  8 O 2.55
Np 0.5000 0.5000 0.0000  4 O 2.06
Np 0.7500 0.2500 0.5000  4 O 2.07
O 0.0808 0.1483 0.5233  1 Np 2.07
O 0.1856 0.6087 0.0062  1 Np 2.06
O 0.3913 0.3975 0.5769  1 Np 2.06
O 0.4425 0.9192 0.0675  1 Np 2.07
O 0.6025 0.1794 0.9938  1 Np 2.06
O 0.6250 0.5575 0.4767  1 Np 2.07
O 0.8206 0.8144 0.4231  1 Np 2.06
O 0.8517 0.3750 0.9325  1 Np 2.07

Summary:
The symmetry is I-4. The value obtained for the uncorrected energy is -8.543 eV/atom.

---

[12]
DFT (PBE) results for a relaxed Sr3Li5Zn crystal.

a = 8.1341 Å, b = 8.1341 Å, c = 4.9212 Å
α = 90.00°, β = 90.00°, γ = 120.00°
Closest atoms and distances in Å follow each position.
Element x y z (fractional)
Sr 0.0000 0.4004 0.0000  1 Zn 3.26, 4 Li 3.50
Sr 0.4004 0.0000 0.0000  1 Zn 3.26, 4 Li 3.50
Sr 0.5996 0.5996 0.0000  1 Zn 3.26, 4 Li 3.50
Li 0.0000 0.7846 0.5000  2 Zn 3.02, 4 Li 3.03-3.30
Li 0.2154 0.2154 0.5000  2 Zn 3.02, 4 Li 3.03-3.30
Li 0.3333 0.6667 0.5000  3 Li 3.30, 6 Sr 3.50
Li 0.6667 0.3333 0.5000  3 Li 3.30, 6 Sr 3.50
Li 0.7846 0.0000 0.5000  2 Zn 3.02, 4 Li 3.03-3.30
Zn 0.0000 0.0000 0.0000  6 Li 3.02, 3 Sr 3.26

Summary:
The symmetry is P-62m. The formation energy is -0.008 eV/f.u.